Computed, not measured: TaBe3Te at its PBEsol-relaxed geometry at the meta-GGA SCAN level of DFT.

Cell lengths 4.4977, 4.4977, 4.4977 Å; angles 90.00, 90.00, 90.00 degrees
With the nearest neighbours (Å) after each atom.
Space group Pm-3m (No. 221)
Asymmetric unit:
Ta 0.0000 0.0000 0.0000 [1 per cell]  6 Be 2.25
Be 0.0000 0.0000 0.5000 [3 per cell]  2 Ta 2.25
Te 0.5000 0.5000 0.5000 [1 per cell]  12 Be 3.18

ΔE_f (raw)	1482	meV per atom
VASP energy	-109.5	eV per cell